(w)
First-principles (PBE) data for NdYErAl after structural relaxation, as listed in Alexandria via LeMat-Bulk.

Unit cell a=7.637 b=7.637 c=7.637 alpha=90.00 beta=90.00 gamma=90.00
Space group F-43m (No. 216)
Symmetry-distinct sites (fractional):
Nd (0.000, 0.000, 0.000) [4 per cell]
Y (0.000, 0.000, 0.500) [4 per cell]
Er (0.250, 0.250, 0.750) [4 per cell]
Al (0.250, 0.250, 0.250) [4 per cell]

Results
Size of the total moment: 1.4 μB per cell
Calculated density: 6373 kg/m3
N(E_F): 1.701 states/eV per atom
Crystal system: cubic



(x)
First-principles (PBE) data for NdYErAl after structural relaxation, as listed in Alexandria via LeMat-Bulk.

Unit cell a=3.535 b=3.535 c=9.084 alpha=90.00 beta=90.00 gamma=90.00
Space group P4mm (No. 99)
Symmetry-distinct sites (fractional):
Nd (0.000, 0.000, 0.000) [1 per cell]
Y (0.500, 0.500, 0.704) [1 per cell]
Er (0.500, 0.500, 0.287) [1 per cell]
Al (0.000, 0.000, 0.494) [1 per cell]

Results
Size of the total moment: 0.0 μB per cell
Calculated density: 6252 kg/m3
N(E_F): 0.826 states/eV per atom
Crystal system: tetragonal



Winner for stability: (x)



(w)
First-principles (PBE) data for NdErAlZn after structural relaxation, as listed in Alexandria via LeMat-Bulk.

Unit cell a=3.609 b=3.609 c=7.368 alpha=90.00 beta=90.00 gamma=90.00
Space group P4mm (No. 99)
Symmetry-distinct sites (fractional):
Nd (0.000, 0.000, 0.000) [1 per cell]
Er (0.000, 0.000, 0.509) [1 per cell]
Al (0.500, 0.500, 0.269) [1 per cell]
Zn (0.500, 0.500, 0.728) [1 per cell]

Results
Size of the total moment: 0.0 μB per cell
Calculated density: 6987 kg/m3
N(E_F): 0.769 states/eV per atom
Crystal system: tetragonal



(x)
First-principles (PBE) data for NdErAlZn after structural relaxation, as listed in Alexandria via LeMat-Bulk.

Unit cell a=7.281 b=7.281 c=7.281 alpha=90.00 beta=90.00 gamma=90.00
Space group F-43m (No. 216)
Symmetry-distinct sites (fractional):
Nd (0.000, 0.000, 0.000) [4 per cell]
Er (0.000, 0.000, 0.500) [4 per cell]
Al (0.250, 0.250, 0.250) [4 per cell]
Zn (0.250, 0.250, 0.750) [4 per cell]

Results
Size of the total moment: 0.0 μB per cell
Calculated density: 6949 kg/m3
N(E_F): 0.804 states/eV per atom
Crystal system: cubic



Winner for stability: (w)



(w)
First-principles (PBE) data for Er12AlNi6 after structural relaxation, as listed in Alexandria via LeMat-Bulk.

Unit cell a=9.569 b=9.569 c=9.569 alpha=90.00 beta=90.00 gamma=90.00
Space group Im-3 (No. 204)
Symmetry-distinct sites (fractional):
Er (0.000, 0.301, 0.187) [24 per cell]
Al (0.000, 0.000, 0.000) [2 per cell]
Ni (0.000, 0.124, 0.500) [12 per cell]

Results
Size of the total moment: 0.0 μB per cell
Calculated density: 9044 kg/m3
N(E_F): 1.046 states/eV per atom
Crystal system: cubic



(x)
First-principles (PBE) data for Er12AlNi6 after structural relaxation, as listed in Alexandria via LeMat-Bulk.

Unit cell a=13.5512 b=13.5512 c=8.6318 alpha=90.00 beta=90.00 gamma=120.00
Space group R-3 (No. 148, hexagonal axes)
Symmetry-distinct sites (fractional):
Er (0.0386, 0.7844, 0.4277) [18 per cell]
Er (0.0593, 0.8803, 0.8292) [18 per cell]
Al (0.0000, 0.0000, 0.5000) [3 per cell]
Ni (0.0727, 0.5720, 0.7850) [18 per cell]

Results
Size of the total moment: 0.0 μB per cell
Calculated density: 8660 kg/m3
N(E_F): 0.778 states/eV per atom
Crystal system: trigonal



Winner for stability: (w)



(w)
First-principles (PBE) data for ErAl4Ni2 after structural relaxation, as listed in Alexandria via LeMat-Bulk.

Unit cell a=16.771 b=4.118 c=6.390 alpha=90.00 beta=90.00 gamma=90.00
Space group Pnma (No. 62)
Symmetry-distinct sites (fractional):
Er (0.139, 0.250, 0.019) [4 per cell]
Al (0.032, 0.750, 0.837) [4 per cell]
Al (0.072, 0.250, 0.503) [4 per cell]
Al (0.188, 0.750, 0.326) [4 per cell]
Al (0.196, 0.750, 0.729) [4 per cell]
Ni (0.040, 0.750, 0.242) [4 per cell]
Ni (0.217, 0.250, 0.530) [4 per cell]

Results
Size of the total moment: 0.0 μB per cell
Calculated density: 5909 kg/m3
N(E_F): 0.392 states/eV per atom
Crystal system: orthorhombic



(x)
First-principles (PBE) data for ErAl4Ni2 after structural relaxation, as listed in Alexandria via LeMat-Bulk.

Unit cell a=7.473 b=7.473 c=3.992 alpha=90.00 beta=90.00 gamma=90.00
Space group P4_2/mnm (No. 136)
Symmetry-distinct sites (fractional):
Er (0.000, 0.000, 0.000) [2 per cell]
Al (0.084, 0.331, 0.500) [8 per cell]
Ni (0.224, 0.776, 0.500) [4 per cell]

Results
Size of the total moment: 0.0 μB per cell
Calculated density: 5850 kg/m3
N(E_F): 0.384 states/eV per atom
Crystal system: tetragonal



Winner for stability: (w)